First-principles (PBE) data for a relaxed structure of HfOsOF2, as listed in the Alexandria database.

Its crystal system is tetragonal. For the total energy, the calculation gives -31.3 eV for the cell shown.

The structure belongs to space group P4/mmm (No. 123); the cell edges are 4.561, 4.561 and 3.650 Å and the angles 90.00°, 90.00° and 90.00°. The distinct sites, in fractional coordinates, are Hf at (0.000, 0.000, 0.000), Os at (0.500, 0.500, 0.500), O at (0.500, 0.500, 0.000) and F at (0.000, 0.500, 0.500).

***

First-principles (PBE) data for a relaxed structure of PdBrCl, as listed in the Alexandria database.

Its crystal system is triclinic. For the total energy, the calculation gives -19.6 eV for the cell shown.

The structure belongs to space group P-1 (No. 2); the cell edges are 3.498, 7.184 and 8.079 Å and the angles 89.94°, 89.95° and 89.92°. The distinct sites, in fractional coordinates, are Pd at (0.249, 0.379, 0.250), Br at (0.251, 0.383, 0.750) and Cl at (0.250, 0.840, 0.750).